Density functional theory data (PBE) for a relaxed structure of Zr2NiPd.

Structure (POSCAR):
```
Zr2NiPd
1.0
0.000 3.295 3.295
3.295 0.000 3.295
3.295 3.295 0.000
Zr Ni Pd
2 1 1
direct
0.250 0.250 0.250 Zr
0.750 0.750 0.750 Zr
0.000 0.000 0.000 Ni
0.500 0.500 0.500 Pd
```

Properties
DFT formation energy	-0.439	eV per atom
relative energy among the computed polymorphs	23.5	meV per atom

=====

Density functional theory data (PBE) for a relaxed structure of Zr5NiPd.

Structure (POSCAR):
```
Zr5NiPd
1.0
4.006 -3.545 0.000
4.006 3.545 0.000
-3.017 0.000 10.093
Zr Ni Pd
10 2 2
direct
0.027 0.973 0.750 Zr
0.079 0.461 0.135 Zr
0.223 0.516 0.447 Zr
0.461 0.079 0.635 Zr
0.484 0.777 0.053 Zr
0.516 0.223 0.947 Zr
0.539 0.921 0.365 Zr
0.777 0.484 0.553 Zr
0.921 0.539 0.865 Zr
0.973 0.027 0.250 Zr
0.000 0.000 0.000 Ni
0.000 0.000 0.500 Ni
0.406 0.594 0.750 Pd
0.594 0.406 0.250 Pd
```

Properties
DFT formation energy	-0.112	eV per atom

=====

Density functional theory data (PBE) for a relaxed structure of ZrNiPd.

Structure (POSCAR):
```
ZrNiPd
1.0
4.581 -1.679 0.000
4.581 1.679 0.000
-2.552 0.000 6.315
Zr Ni Pd
2 2 2
direct
0.003 0.003 0.240 Zr
0.997 0.997 0.760 Zr
0.342 0.342 0.944 Ni
0.658 0.658 0.056 Ni
0.329 0.329 0.392 Pd
0.671 0.671 0.608 Pd
```

Properties
DFT formation energy	-0.553	eV per atom

=====

Density functional theory data (PBE) for a relaxed structure of Zr3Ni8Pd.

Structure (POSCAR):
```
Zr3Ni8Pd
1.0
4.871 0.000 0.000
-2.435 4.218 0.000
0.000 0.000 7.987
Zr Ni Pd
3 8 1
direct
0.000 0.000 0.000 Zr
0.000 0.000 0.389 Zr
0.333 0.667 0.829 Zr
0.004 0.502 0.177 Ni
0.332 0.166 0.681 Ni
0.498 0.502 0.177 Ni
0.498 0.996 0.177 Ni
0.667 0.333 0.428 Ni
0.667 0.333 0.934 Ni
0.834 0.166 0.681 Ni
0.834 0.668 0.681 Ni
0.333 0.667 0.475 Pd
```

Properties
DFT formation energy	-0.462	eV per atom

=====

Density functional theory data (PBE) for a relaxed structure of ZrNiPd.

Structure (POSCAR):
```
ZrNiPd
1.0
3.848 0.000 0.000
0.000 3.848 0.000
0.000 0.000 6.656
Zr Ni Pd
2 2 2
direct
0.250 0.250 0.162 Zr
0.750 0.750 0.838 Zr
0.250 0.250 0.772 Ni
0.750 0.750 0.228 Ni
0.250 0.750 0.500 Pd
0.750 0.250 0.500 Pd
```

Properties
DFT formation energy	-0.491	eV per atom

=====

Density functional theory data (PBE) for a relaxed structure of ZrNi3Pd.

Structure (POSCAR):
```
ZrNi3Pd
1.0
4.504 0.000 0.000
0.000 4.504 0.000
0.000 0.000 4.504
Zr Ni Pd
1 3 1
direct
0.000 0.000 0.000 Zr
0.000 0.000 0.500 Ni
0.000 0.500 0.000 Ni
0.500 0.000 0.000 Ni
0.500 0.500 0.500 Pd
```

Properties
DFT formation energy	1.147	eV per atom
relative energy among the computed polymorphs	275.6	meV per atom

=====

Density functional theory data (PBE) for a relaxed structure of ZrNi3Pd.

Structure (POSCAR):
```
ZrNi3Pd
1.0
4.484 0.000 0.000
0.000 4.484 0.000
0.000 0.000 4.484
Zr Ni Pd
1 3 1
direct
0.000 0.000 0.000 Zr
0.000 0.500 0.500 Ni
0.500 0.000 0.500 Ni
0.500 0.500 0.000 Ni
0.500 0.500 0.500 Pd
```

Properties
DFT formation energy	0.872	eV per atom
relative energy among the computed polymorphs	0.0	meV per atom

=====

Density functional theory data (PBE) for a relaxed structure of ZrNi5Pd.

Structure (POSCAR):
```
ZrNi5Pd
1.0
7.774 0.000 0.000
0.000 4.739 0.000
0.000 0.000 9.986
Zr Ni Pd
4 20 4
direct
0.244 0.250 0.061 Zr
0.256 0.750 0.561 Zr
0.744 0.250 0.439 Zr
0.756 0.750 0.939 Zr
0.052 0.750 0.100 Ni
0.070 0.003 0.313 Ni
0.070 0.497 0.313 Ni
0.095 0.250 0.519 Ni
0.185 0.250 0.746 Ni
0.315 0.750 0.246 Ni
0.405 0.750 0.019 Ni
0.430 0.503 0.813 Ni
0.430 0.997 0.813 Ni
0.448 0.250 0.600 Ni
0.552 0.750 0.400 Ni
0.570 0.003 0.187 Ni
0.570 0.497 0.187 Ni
0.595 0.250 0.981 Ni
0.685 0.250 0.754 Ni
0.815 0.750 0.254 Ni
0.905 0.750 0.481 Ni
0.930 0.503 0.687 Ni
0.930 0.997 0.687 Ni
0.948 0.250 0.900 Ni
0.134 0.750 0.859 Pd
0.366 0.250 0.359 Pd
0.634 0.750 0.641 Pd
0.866 0.250 0.141 Pd
```

Properties
DFT formation energy	-0.247	eV per atom

=====

Density functional theory data (PBE) for a relaxed structure of Zr2Ni9Pd.

Structure (POSCAR):
```
Zr2Ni9Pd
1.0
3.729 0.000 0.000
0.000 3.729 0.000
0.000 0.000 11.116
Zr Ni Pd
2 9 1
direct
0.000 0.000 0.172 Zr
0.000 0.000 0.828 Zr
0.000 0.500 0.000 Ni
0.000 0.500 0.338 Ni
0.000 0.500 0.662 Ni
0.500 0.000 0.000 Ni
0.500 0.000 0.338 Ni
0.500 0.000 0.662 Ni
0.500 0.500 0.168 Ni
0.500 0.500 0.500 Ni
0.500 0.500 0.832 Ni
0.000 0.000 0.500 Pd
```

Properties
DFT formation energy	-0.251	eV per atom
relative energy among the computed polymorphs	0.0	meV per atom

=====

Density functional theory data (PBE) for a relaxed structure of ZrNiPd.

Structure (POSCAR):
```
ZrNiPd
1.0
1.633 -8.116 0.000
1.633 8.116 0.000
0.000 0.000 3.687
Zr Ni Pd
2 2 2
direct
0.112 0.888 0.750 Zr
0.888 0.112 0.250 Zr
0.456 0.544 0.750 Ni
0.544 0.456 0.250 Ni
0.296 0.704 0.750 Pd
0.704 0.296 0.250 Pd
```

Properties
DFT formation energy	-0.533	eV per atom

=====

Density functional theory data (PBE) for a relaxed structure of ZrNiPd3.

Structure (POSCAR):
```
ZrNiPd3
1.0
6.835 -2.049 0.000
6.835 2.049 0.000
-0.278 0.000 5.593
Zr Ni Pd
2 2 6
direct
0.124 0.124 0.013 Zr
0.876 0.876 0.987 Zr
0.313 0.313 0.243 Ni
0.687 0.687 0.757 Ni
0.103 0.103 0.516 Pd
0.295 0.295 0.709 Pd
0.498 0.498 0.753 Pd
0.502 0.502 0.247 Pd
0.705 0.705 0.291 Pd
0.897 0.897 0.484 Pd
```

Properties
DFT formation energy	-0.494	eV per atom
relative energy among the computed polymorphs	0.0	meV per atom

=====

Density functional theory data (PBE) for a relaxed structure of ZrNiPd6.

Structure (POSCAR):
```
ZrNiPd6
1.0
3.348 -3.846 0.000
3.348 3.846 0.000
-0.530 0.000 4.971
Zr Ni Pd
1 1 6
direct
0.000 0.000 0.000 Zr
0.000 0.000 0.500 Ni
0.133 0.505 0.271 Pd
0.351 0.351 0.773 Pd
0.495 0.867 0.729 Pd
0.505 0.133 0.271 Pd
0.649 0.649 0.227 Pd
0.867 0.495 0.729 Pd
```

Properties
DFT formation energy	-0.239	eV per atom